Entry 1:
Below is a relaxed HfNpV4 crystal, with properties calculated at the PBE-GGA level.

Structure (POSCAR):
```
HfNpV4
1.0
-3.619 2.838 2.384
-4.697 0.520 -2.122
-4.094 -2.316 2.171
V Np Hf
4 1 1
Cartesian
-7.747 0.651 1.518 V
-5.713 1.801 0.440 V
-5.949 -0.759 0.334 V
-5.413 0.392 2.572 V
-3.103 0.261 0.608 Np
0.000 0.000 0.000 Hf
```

Output
energy of formation from the pure elements	0.223	eV per atom



Entry 2:
Below is a relaxed NaCaSmIn crystal, with properties calculated at the PBE-GGA level.

Structure (POSCAR):
```
NaCaSmIn
1.0
5.533 0.000 0.000
2.766 4.792 0.000
2.766 1.597 4.518
Sm Na In Ca
1 1 1 1
Cartesian
0.000 0.000 0.000 Sm
8.299 4.792 3.388 Na
2.766 1.597 1.129 In
5.533 3.194 2.259 Ca
```

Output
energy of formation from the pure elements	-0.188	eV per atom



Entry 3:
Below is a relaxed Mg2Tl3AgCl9 crystal, with properties calculated at the PBE-GGA level.

Structure (POSCAR):
```
Mg2Tl3AgCl9
1.0
7.164 0.000 0.000
-3.582 6.205 0.000
0.000 0.000 8.849
Cl Mg Tl Ag
9 2 3 1
Cartesian
1.791 3.102 0.000 Cl
1.852 1.069 5.912 Cl
5.313 1.069 5.912 Cl
3.582 0.000 0.000 Cl
-1.730 5.136 2.937 Cl
3.582 4.066 5.912 Cl
-1.791 3.102 0.000 Cl
0.000 2.138 2.937 Cl
1.730 5.136 2.937 Cl
0.000 4.136 1.388 Mg
3.582 2.068 7.461 Mg
3.582 2.068 3.086 Tl
0.000 0.000 0.000 Tl
0.000 4.136 5.763 Tl
0.000 0.000 4.425 Ag
```

Output
formation energy (no corrections)	-1.1715	eV/atom



Entry 4:
Below is a relaxed Nd2ScZn3Pt4 crystal, with properties calculated at the PBE-GGA level.

Structure (POSCAR):
```
Nd2ScZn3Pt4
1.0
4.133 0.000 0.000
0.000 4.133 0.000
0.000 0.000 11.571
Zn Pt Sc Nd
3 4 1 2
Cartesian
0.000 0.000 5.785 Zn
0.000 2.067 1.503 Zn
2.067 0.000 10.068 Zn
2.067 2.067 0.000 Pt
2.067 0.000 7.526 Pt
0.000 2.067 4.045 Pt
0.000 0.000 0.000 Pt
2.067 2.067 5.785 Sc
0.000 2.067 8.883 Nd
2.067 0.000 2.688 Nd
```

Output
energy of formation from the pure elements	-0.853	eV per atom



Entry 5:
Below is a relaxed La2Tb8Sc crystal, with properties calculated at the PBE-GGA level.

Structure (POSCAR):
```
La2Tb8Sc
1.0
-4.307 0.953 3.609
3.802 -7.159 5.843
6.546 -0.979 7.485
Tb La Sc
8 2 1
Cartesian
2.620 -5.832 10.595 Tb
3.421 -1.353 6.343 Tb
1.396 -2.965 8.824 Tb
0.844 -1.226 3.205 Tb
2.124 -4.275 5.566 Tb
5.198 -5.958 13.733 Tb
4.645 -4.219 8.114 Tb
3.918 -2.909 11.372 Tb
-0.272 -1.588 6.428 La
6.314 -5.597 10.509 La
0.000 0.000 0.000 Sc
```

Output
energy above the most stable polymorph in this dataset	172	kJ/mol of formula units
energy of formation from the pure elements	0.199	eV per atom



Entry 6:
Below is a relaxed Tb3Cu2Ni3 crystal, with properties calculated at the PBE-GGA level.

Structure (POSCAR):
```
Tb3Cu2Ni3
1.0
5.389 0.000 0.000
0.000 7.188 0.000
0.000 0.000 14.941
Cu Tb Ni
8 12 12
Cartesian
1.970 2.726 9.114 Cu
0.725 6.320 13.298 Cu
4.664 0.868 5.828 Cu
0.725 6.320 9.114 Cu
4.664 0.868 1.643 Cu
1.970 2.726 13.298 Cu
3.420 4.462 5.828 Cu
3.420 4.462 1.643 Cu
4.654 3.812 13.404 Tb
3.431 0.218 13.404 Tb
4.654 3.812 9.008 Tb
0.736 3.376 1.537 Tb
3.324 2.379 3.735 Tb
0.736 3.376 5.933 Tb
1.959 6.970 1.537 Tb
3.431 0.218 9.008 Tb
1.959 6.970 5.933 Tb
0.629 1.215 11.206 Tb
2.066 4.809 11.206 Tb
4.760 5.973 3.735 Tb
3.158 2.333 6.997 Ni
0.634 1.343 3.735 Ni
2.232 4.855 14.468 Ni
0.463 1.261 7.944 Ni
4.926 5.926 0.473 Ni
3.158 2.333 0.473 Ni
0.463 1.261 14.468 Ni
2.061 4.937 3.735 Ni
4.926 5.926 6.997 Ni
2.232 4.855 7.944 Ni
4.756 5.844 11.206 Ni
3.328 2.250 11.206 Ni
```

Output
energy above the most stable polymorph in this dataset	14	kJ/mol of formula units
energy of formation from the pure elements	-0.331	eV per atom



Entry 7:
Below is a relaxed PrW2N4 crystal, with properties calculated at the PBE-GGA level.

Structure (POSCAR):
```
PrW2N4
1.0
-1.511 0.175 2.984
-1.982 -4.071 -2.645
7.128 -6.048 3.964
Pr W N
2 4 8
Cartesian
-0.280 -4.511 0.122 Pr
3.915 -5.432 4.180 Pr
2.510 -3.612 1.483 W
-0.233 -1.285 -0.043 W
3.868 -8.659 4.346 W
1.125 -6.332 2.820 W
-1.443 -2.591 1.301 N
2.809 -2.936 3.474 N
2.249 -7.855 3.479 N
-0.756 0.087 1.492 N
2.971 -5.565 1.830 N
0.664 -4.378 2.472 N
1.385 -2.089 0.824 N
5.078 -7.352 3.002 N
```

Output
formation energy (no corrections)	-0.6626	eV/atom



Entry 8:
Below is a relaxed Ac6As2Se3S crystal, with properties calculated at the PBE-GGA level.

Structure (POSCAR):
```
Ac6As2Se3S
1.0
-0.951 2.661 3.457
2.728 -6.383 5.663
8.580 3.818 -3.463
Ac S Se As
6 1 3 2
Cartesian
2.399 2.456 1.653 Ac
6.516 0.718 1.238 Ac
0.676 -1.523 1.358 Ac
7.958 -2.360 4.004 Ac
9.682 1.619 4.299 Ac
3.842 -0.623 4.419 Ac
-0.475 1.330 1.729 S
0.889 -1.861 4.560 Se
5.000 -3.593 4.140 Se
5.358 3.689 1.517 Se
6.773 0.509 4.353 As
3.584 -0.413 1.304 As
```

Output
formation energy (no corrections)	-1.8014	eV/atom



Entry 9:
Below is a relaxed DyScTiAl crystal, with properties calculated at the PBE-GGA level.

Structure (POSCAR):
```
DyScTiAl
1.0
-4.432 -0.703 2.200
-1.728 -4.635 0.713
-0.224 -1.900 4.617
Sc Dy Ti Al
1 1 1 1
Cartesian
0.000 0.000 0.000 Sc
-3.192 -3.619 3.765 Dy
-4.788 -5.429 5.648 Ti
-1.596 -1.810 1.883 Al
```

Output
energy of formation from the pure elements	-0.085	eV per atom



Entry 10:
Below is a relaxed PaTe2HO8 crystal, with properties calculated at the PBE-GGA level.

Structure (POSCAR):
```
PaTe2HO8
1.0
4.246 0.000 0.000
2.123 5.199 -0.162
2.123 1.689 6.646
Pa O Te H
1 8 2 1
Cartesian
4.246 3.444 3.242 Pa
5.337 5.011 1.154 O
4.246 4.512 5.005 O
3.154 1.877 5.330 O
3.154 5.011 1.154 O
5.337 1.877 5.330 O
2.123 2.227 2.857 O
6.369 4.661 3.627 O
4.246 2.376 1.479 O
6.369 5.418 5.408 Te
2.123 1.470 1.076 Te
0.000 0.000 0.000 H
```

Output
electronic total energy	-6.072	eV/atom



Entry 11:
Below is a relaxed PuZnCu2 crystal, with properties calculated at the PBE-GGA level.

Structure (POSCAR):
```
PuZnCu2
1.0
-2.346 2.050 2.967
-5.141 -3.938 -1.344
3.045 -6.277 6.745
Zn Cu Pu
4 8 4
Cartesian
-1.914 -6.216 7.460 Zn
-2.527 -1.950 0.908 Zn
-0.177 -2.530 6.288 Zn
-4.265 -5.635 2.081 Zn
-3.879 -7.630 6.884 Cu
-0.562 -0.535 1.485 Cu
-2.871 0.389 2.140 Cu
-4.129 -4.285 4.375 Cu
-2.364 -4.088 2.515 Cu
-1.571 -8.554 6.228 Cu
-0.313 -3.880 3.994 Cu
-2.078 -4.077 5.853 Cu
-2.291 -6.614 4.318 Pu
0.729 -5.573 5.988 Pu
-2.151 -1.551 4.050 Pu
-5.171 -2.592 2.381 Pu
```

Output
energy of formation from the pure elements	-0.046	eV per atom



Entry 12:
Below is a relaxed In2AsRh crystal, with properties calculated at the PBE-GGA level.

Structure (POSCAR):
```
In2AsRh
1.0
-0.750 -4.727 -6.924
0.795 -6.924 -4.718
-2.655 -6.510 -4.627
As Rh In
1 1 2
Cartesian
-2.001 -13.927 -12.476 As
-1.279 -8.898 -7.971 Rh
-0.620 -4.317 -3.868 In
-0.014 -0.099 -0.089 In
```

Output
energy of formation from the pure elements	-0.159	eV per atom



Entry 13:
Below is a relaxed In2NiGePb crystal, with properties calculated at the PBE-GGA level.

Structure (POSCAR):
```
In2NiGePb
1.0
-1.600 -3.710 -3.285
4.881 -0.584 -1.717
0.734 -3.097 3.141
Ni Pb In Ge
1 1 2 1
Cartesian
0.000 0.000 0.000 Ni
2.008 -3.696 -0.931 Pb
-0.800 -1.855 -1.642 In
2.440 -0.292 -0.859 In
0.367 -1.549 1.570 Ge
```

Output
energy of formation from the pure elements	0.073	eV per atom



Entry 14:
Below is a relaxed RbSe3F crystal, with properties calculated at the PBE-GGA level.

Structure (POSCAR):
```
RbSe3F
1.0
6.916 0.000 0.000
0.000 6.916 0.000
0.000 0.000 6.916
Se Rb F
3 1 1
Cartesian
0.000 3.458 0.000 Se
0.000 0.000 3.458 Se
3.458 0.000 0.000 Se
0.000 0.000 0.000 Rb
3.458 3.458 3.458 F
```

Output
energy above the most stable polymorph in this dataset	447	kJ/mol of formula units
formation energy (no corrections)	0.8202	eV/atom



Entry 15:
Below is a relaxed Zr8C3O2 crystal, with properties calculated at the PBE-GGA level.

Structure (POSCAR):
```
Zr8C3O2
1.0
-3.102 -0.333 4.774
-2.860 -5.132 -2.329
2.686 -5.585 1.243
Zr C O
8 3 2
Cartesian
-0.556 -1.328 0.696 Zr
0.342 -4.255 2.064 Zr
-2.720 -9.722 2.992 Zr
-0.628 -6.688 0.128 Zr
-3.618 -6.794 1.624 Zr
-0.779 -7.026 3.453 Zr
-2.498 -4.024 0.235 Zr
-2.648 -4.361 3.559 Zr
1.305 -5.472 0.354 C
-1.551 -0.166 2.387 C
-1.480 -5.245 -1.440 C
-1.684 -8.090 1.590 O
-1.592 -2.959 2.097 O
```

Output
formation energy (no corrections)	-1.2011	eV/atom



Entry 16:
Below is a relaxed TcOs3 crystal, with properties calculated at the PBE-GGA level.

Structure (POSCAR):
```
TcOs3
1.0
4.371 0.000 0.000
2.186 3.785 0.000
2.186 1.262 3.569
Tc Os
1 3
Cartesian
6.557 3.785 2.677 Tc
2.186 1.262 0.892 Os
4.371 2.524 1.784 Os
0.000 0.000 0.000 Os
```

Output
energy above the most stable polymorph in this dataset	300	kJ/mol of formula units
energy of formation from the pure elements	0.701	eV per atom



Entry 17:
Below is a relaxed Al2TlPt crystal, with properties calculated at the PBE-GGA level.

Structure (POSCAR):
```
Al2TlPt
1.0
-1.781 1.793 -4.614
-1.693 -4.625 1.571
-3.263 1.015 0.538
Al Tl Pt
2 1 1
Cartesian
-2.478 -1.805 1.055 Al
0.000 0.000 0.000 Al
-2.522 1.404 -2.038 Tl
-1.737 -1.416 -1.522 Pt
```

Output
energy above the most stable polymorph in this dataset	154	kJ/mol of formula units
energy of formation from the pure elements	0.059	eV per atom



Entry 18:
Below is a relaxed PaVCd crystal, with properties calculated at the PBE-GGA level.

Structure (POSCAR):
```
PaVCd
1.0
-1.174 0.181 3.270
-2.516 -2.273 -0.777
6.653 -8.338 2.851
Cd Pa V
2 2 2
Cartesian
3.289 -4.767 3.296 Cd
1.519 -4.617 0.802 Cd
3.984 -7.705 1.858 Pa
0.825 -1.679 2.240 Pa
0.000 0.000 0.000 V
-1.845 -1.046 1.246 V
```

Output
energy of formation from the pure elements	0.418	eV per atom



Entry 19:
Below is a relaxed Tb2Pm2Pr2Mg crystal, with properties calculated at the PBE-GGA level.

Structure (POSCAR):
```
Tb2Pm2Pr2Mg
1.0
3.552 0.000 0.000
-1.776 5.834 -1.003
0.000 -2.485 11.621
Tb Mg Pr Pm
2 1 2 2
Cartesian
0.000 1.586 9.989 Tb
1.776 1.763 0.628 Tb
0.000 -1.242 5.810 Mg
0.000 4.679 1.834 Pr
1.776 -1.331 8.784 Pr
1.776 1.498 6.878 Pm
0.000 1.851 3.739 Pm
```

Output
energy of formation from the pure elements	0.086	eV per atom



Entry 20:
Below is a relaxed CsNpTc2O8 crystal, with properties calculated at the PBE-GGA level.

Structure (POSCAR):
```
CsNpTc2O8
1.0
-3.774 -2.445 -3.941
4.861 -3.011 1.749
-4.459 -3.468 6.422
O Tc Np Cs
8 2 1 1
Cartesian
-1.581 -5.313 -0.036 O
-1.189 -2.862 -1.622 O
0.526 -5.374 4.923 O
-3.898 -3.551 -0.693 O
-2.182 -6.062 5.851 O
-1.824 -2.629 1.244 O
-1.791 -3.612 4.266 O
-1.547 -6.296 2.985 O
-1.272 -5.354 4.540 Tc
-2.100 -3.571 -0.310 Tc
-2.229 -1.734 3.211 Np
0.000 0.000 0.000 Cs
```

Output
formation energy (no corrections)	-1.8551	eV/atom



Entry 21:
Below is a relaxed TbSc2HgO crystal, with properties calculated at the PBE-GGA level.

Structure (POSCAR):
```
TbSc2HgO
1.0
-0.713 -3.228 3.361
3.629 -2.251 -1.392
2.558 2.376 2.825
Tb Hg O Sc
1 1 1 2
Cartesian
-0.357 -1.614 1.681 Tb
2.736 -1.551 2.397 Hg
0.000 0.000 0.000 O
1.814 -1.125 -0.696 Sc
1.279 1.188 1.413 Sc
```

Output
formation energy (no corrections)	-1.4289	eV/atom



Entry 22:
Below is a relaxed Pm3NdIr8 crystal, with properties calculated at the PBE-GGA level.

Structure (POSCAR):
```
Pm3NdIr8
1.0
5.198 0.000 1.569
2.362 4.630 1.569
0.000 0.000 9.395
Pm Ir Nd
3 8 1
Cartesian
2.835 1.736 9.397 Pm
0.000 0.000 9.393 Pm
3.779 2.314 6.269 Pm
5.908 2.026 3.914 Ir
7.087 4.340 9.406 Ir
5.197 3.183 10.965 Ir
3.308 2.026 3.130 Ir
5.905 2.024 8.621 Ir
4.490 4.342 3.914 Ir
4.486 4.340 8.621 Ir
1.417 0.868 4.699 Ir
6.615 4.052 6.267 Nd
```

Output
energy of formation from the pure elements	-0.719	eV per atom



Entry 23:
Below is a relaxed YMg2Cu2 crystal, with properties calculated at the PBE-GGA level.

Structure (POSCAR):
```
YMg2Cu2
1.0
7.206 0.000 0.000
0.000 7.206 0.000
0.000 0.000 3.834
Y Cu Mg
2 4 4
Cartesian
0.000 0.000 0.000 Y
3.603 3.603 0.000 Y
0.868 2.735 0.000 Cu
2.735 6.338 0.000 Cu
6.338 4.471 0.000 Cu
4.471 0.868 0.000 Cu
6.010 2.407 1.917 Mg
2.407 1.197 1.917 Mg
4.800 6.010 1.917 Mg
1.197 4.800 1.917 Mg
```

Output
energy above the most stable polymorph in this dataset	39	kJ/mol of formula units
energy of formation from the pure elements	-0.071	eV per atom



M_tot list, top to bottom, in μB/atom: 0.51, 0.00, 0.05, 0.00, 0.00, 0.00, 0.00, 0.00, 0.65, 0.00, 1.40, 0.00, 0.00, 1.08, 0.00, 0.00, 0.00, 0.00, 0.00, 0.50, 0.00, 0.00, 0.00